DFT (PBE) results for crystalline NaNd2ReN4 at its relaxed geometry.

Output
* symmetry: Cmcm

a = 3.5000 Å, b = 6.7370 Å, c = 12.4174 Å
α = 90.00°, β = 90.00°, γ = 105.06°
Last column: magnetic moment on the atom in μB.
Atoms (fractional coordinates):
N: 0.6192 0.2384 0.2500  0.01
N: 0.2569 0.5138 0.1151  0.00
Re: 0.8028 0.6055 0.7500  0.07
N: 0.0000 0.0000 0.0000  0.00
N: 0.2569 0.5138 0.3849  0.00
N: 0.0000 0.0000 0.5000  0.00
Nd: 0.3735 0.7471 0.9629  0.01
Nd: 0.6265 0.2529 0.4629  0.01
Na: 0.0481 0.0962 0.7500  0.00
Na: 0.9519 0.9038 0.2500  0.00
N: 0.7431 0.4862 0.6151  0.00
Nd: 0.6265 0.2529 0.0371  0.01
N: 0.7431 0.4862 0.8849  0.00
Nd: 0.3735 0.7471 0.5371  0.01
N: 0.3808 0.7616 0.7500  0.01
Re: 0.1972 0.3945 0.2500  0.07


DFT (PBE) results for crystalline Nd12Ho7Cd at its relaxed geometry.

Output
* energy relative to the elements: 679 meV/atom
* symmetry: Im-3

a = 10.0256 Å, b = 10.0256 Å, c = 10.0256 Å
α = 109.47°, β = 109.47°, γ = 109.47°
Atoms (fractional coordinates):
Ho: 0.5000 0.5000 0.5000
Nd: 0.7593 0.2414 0.0007
Nd: 0.7586 0.9993 0.2407
Ho: 0.0000 0.5000 0.5000
Nd: 0.2414 0.0007 0.7593
Ho: 0.5000 0.0000 0.5000
Ho: 0.0000 0.5000 0.0000
Nd: 0.2407 0.7586 0.9993
Nd: 0.9993 0.2407 0.7586
Nd: 0.5179 0.7593 0.7586
Nd: 0.2414 0.4821 0.2407
Nd: 0.7586 0.5179 0.7593
Ho: 0.5000 0.5000 0.0000
Cd: 0.0000 0.0000 0.0000
Nd: 0.7593 0.7586 0.5179
Ho: 0.5000 0.0000 0.0000
Ho: 0.0000 0.0000 0.5000
Nd: 0.2407 0.2414 0.4821
Nd: 0.0007 0.7593 0.2414
Nd: 0.4821 0.2407 0.2414


DFT (PBE) results for crystalline SrLiNp2N5 at its relaxed geometry.

Output
* symmetry: I4/mcm

a = 6.3699 Å, b = 6.3699 Å, c = 7.2700 Å
α = 115.98°, β = 115.98°, γ = 90.00°
Last column: magnetic moment on the atom in μB.
Atoms (fractional coordinates):
Li: 0.7500 0.2500 0.5000  -0.01
Sr: 0.7500 0.7500 0.5000  0.00
Np: 0.3293 0.8293 0.0000  1.40
Sr: 0.2500 0.2500 0.5000  0.00
N: 0.5000 0.5000 0.0000  -0.17
Np: 0.8293 0.6707 0.0000  1.40
N: 0.2722 0.7722 0.2365  -0.12
Np: 0.6707 0.1707 0.0000  1.40
Li: 0.2500 0.7500 0.5000  -0.01
N: 0.4643 0.2722 0.2365  -0.12
Np: 0.1707 0.3293 0.0000  1.40
N: 0.0357 0.5357 0.7635  -0.12
N: 0.5357 0.7278 0.7635  -0.12
N: 0.7722 0.9643 0.2365  -0.12
N: 0.2278 0.0357 0.7635  -0.12
N: 0.0000 0.0000 0.0000  -0.17
N: 0.7278 0.2278 0.7635  -0.12
N: 0.9643 0.4643 0.2365  -0.12


DFT (PBE) results for crystalline PaFeP2 at its relaxed geometry.

Output
* energy relative to the elements: -60 meV/atom
* symmetry: R-3m

a = 4.2225 Å, b = 4.2225 Å, c = 7.3566 Å
α = 73.32°, β = 73.32°, γ = 60.00°
Last column: magnetic moment on the atom in μB.
Atoms (fractional coordinates):
Fe: 0.0000 0.0000 0.0000  2.95
P: 0.8940 0.8940 0.3181  0.01
Pa: 0.5000 0.5000 0.5000  -0.08
P: 0.1060 0.1060 0.6819  0.01


Number 1: calculated total energy -7.73 eV/atom. Number 2: calculated total energy -3.83 eV/atom. Number 3: calculated total energy -8.72 eV/atom. Number 4: calculated total energy -7.25 eV/atom.